First-principles (PBE with a Hubbard U) data for an optimized crystal structure of WOF4, as listed in the Alexandria database.

Output
Relative energy among the computed polymorphs: 0.009 eV/atom

```
24
Lattice="-0.373 8.666 -0.992 -2.759 -4.198 -7.140 -5.187 0.123 1.756" Properties=species:S:1:pos:R:3 pbc="T T T"
W -6.373 3.490 -4.828
W -1.947 1.101 -1.547
W -0.820 6.257 -2.143
W -2.313 -1.789 -5.989
O -1.207 -0.659 -1.349
O -7.562 2.830 -6.183
O -7.113 5.250 -5.027
O -0.758 1.760 -0.192
F -3.131 0.459 -2.865
F -2.435 2.954 -5.236
F -3.563 -2.167 -4.630
F -3.060 -0.063 -6.145
F -5.259 4.653 -0.230
F -2.012 5.587 -3.444
F -5.189 4.132 -3.511
F -3.248 0.713 -0.230
F -5.627 1.770 -4.639
F -2.693 2.820 -1.736
F -6.308 -0.997 -2.931
F -5.072 3.878 -6.145
F -5.885 1.636 -1.139
F -4.757 6.757 -1.746
F -6.237 -1.226 -5.561
F -2.083 5.816 -0.814
```